This record from Alexandria via LeMat-Bulk describes an optimized crystal structure of RbW3O9. The functional is PBE with a Hubbard U.

Geometry as POSCAR:
```
RbW3O9
1.0
5.990 0.000 -0.111
0.000 7.789 0.000
0.128 0.000 8.229
Rb W O
2 6 18
Direct
0.002 0.250 0.411
0.998 0.750 0.589
0.000 0.000 0.000
0.000 0.500 0.000
0.498 0.499 0.694
0.498 0.001 0.694
0.502 0.999 0.306
0.502 0.501 0.306
0.003 0.250 0.999
0.245 0.997 0.831
0.245 0.503 0.831
0.298 0.998 0.499
0.298 0.502 0.499
0.495 0.250 0.695
0.249 0.000 0.167
0.249 0.500 0.167
0.499 0.250 0.307
0.501 0.750 0.693
0.751 0.000 0.833
0.751 0.500 0.833
0.505 0.750 0.305
0.702 0.002 0.501
0.702 0.498 0.501
0.755 0.003 0.169
0.755 0.497 0.169
0.997 0.750 0.001
```

Output
As for the energy above the most stable polymorph in this dataset: 28.9 meV per atom. Its total energy is -7.198 eV per atom. As for the crystal system: monoclinic. Its space group is P2_1/m.